(1)
GGA-PBE Zr2AgGe2, relaxed; formation energy = -0.5482 eV per atom; size of the total moment = 0.00 Bohr magnetons per cell; space-group type = No. 127; E above lowest polymorph = 0.0000 eV/atom
1.0
6.9468 0.0000 0.0000
0.0000 6.9468 0.0000
0.0000 0.0000 3.9048
Ge Zr Ag
4 4 2
Direct
0.3731 0.8731 0.0000
0.8731 0.6269 0.0000
0.6269 0.1269 0.0000
0.1269 0.3731 0.0000
0.1769 0.6769 0.5000
0.6769 0.8231 0.5000
0.8231 0.3231 0.5000
0.3231 0.1769 0.5000
0.0000 0.0000 0.0000
0.5000 0.5000 0.0000

***

(2)
GGA-PBE CaSmEr, relaxed; formation energy = 0.1329 eV per atom; size of the total moment = 0.00 Bohr magnetons per cell; space-group type = No. 186; E above lowest polymorph = 0.0730 eV/atom
1.0
3.5835 0.0000 0.0000
-1.7918 3.1034 0.0000
0.0000 0.0000 18.8837
Er Ca Sm
2 2 2
Direct
0.3333 0.6667 0.1549
0.6667 0.3333 0.6549
0.6667 0.3333 0.8373
0.3333 0.6667 0.3373
0.0000 0.0000 0.0077
0.0000 0.0000 0.5077

***

(3)
GGA-PBE CsDyPbF6, relaxed; size of the total moment = 0.00 Bohr magnetons per cell; space-group type = No. 5; formation energy from raw total energies = -3.24 eV/atom
1.0
-5.9360 -2.5260 0.5925
-2.3259 -1.4843 5.8612
-2.2791 5.4607 0.4759
Cs Dy Pb F
1 1 1 6
Direct
0.0000 0.0000 0.9998
0.6666 0.6666 0.5001
0.3334 0.3335 0.4997
0.9690 0.3974 0.3007
0.3978 0.9694 0.6995
0.6322 0.3992 0.7002
0.9684 0.6329 0.6998
0.3987 0.6330 0.2999
0.6337 0.9681 0.3003

***

(4)
GGA-PBE CrCd2Ge, relaxed; formation energy = 0.4854 eV per atom; size of the total moment = 7.23 Bohr magnetons per cell; space-group type = No. 122
1.0
7.9264 0.0000 0.0000
0.0000 7.9264 0.0000
3.9632 3.9632 2.7103
Cr Ge Cd
2 2 4
Direct
0.5000 0.5000 0.0000
0.2500 0.7500 0.5000
0.0000 0.0000 0.0000
0.7500 0.2500 0.5000
0.6422 0.1250 0.2500
0.1078 0.6250 0.2500
0.3750 0.3578 0.7500
0.8750 0.8922 0.7500

***

(5)
GGA-PBE In4Sn3Hg5, relaxed; formation energy = 0.0414 eV per atom; size of the total moment = 0.00 Bohr magnetons per cell; space-group type = No. 2
1.0
-1.4266 2.2171 5.8640
-5.5682 2.1722 -5.4911
1.8279 -9.2228 0.4559
In Sn Hg
4 3 5
Direct
0.5432 0.9411 0.1450
0.7317 0.2725 0.5628
0.2683 0.7275 0.4372
0.4568 0.0589 0.8550
0.0577 0.2169 0.1536
0.0000 0.5000 0.0000
0.9423 0.7831 0.8464
0.8931 0.9909 0.6334
0.5000 0.5000 0.0000
0.3191 0.5284 0.6596
0.6809 0.4716 0.3404
0.1069 0.0091 0.3666

***

(6)
GGA-PBE CrFe2Sb, relaxed; size of the total moment = 1.15 Bohr magnetons per cell; space-group type = No. 139; formation energy from raw total energies = 0.19 eV/atom
1.0
4.3625 -0.5302 0.5343
3.0510 3.1629 0.5343
1.3736 0.4878 3.6374
Cr Fe Sb
1 2 1
Direct
0.7500 0.7500 0.7500
0.0000 0.0000 0.0000
0.5000 0.5000 0.5000
0.2500 0.2500 0.2500

***

(7)
GGA-PBE SiWBr2, relaxed; size of the total moment = 0.00 Bohr magnetons per cell; space-group type = No. 12; formation energy from raw total energies = 0.22 eV/atom; E above lowest polymorph = 0.0907 eV/atom
1.0
8.2893 0.0328 -0.0269
7.6608 3.1663 -0.0269
0.9596 0.1925 3.8159
Br Si W
2 1 1
Direct
0.8929 0.8929 0.1037
0.6071 0.6071 0.3963
0.7500 0.7500 0.7500
0.2500 0.2500 0.2500

***

(8)
GGA-PBE AsIrSe2, relaxed; size of the total moment = 0.00 Bohr magnetons per cell; space-group type = No. 166; formation energy from raw total energies = 0.06 eV/atom
1.0
-1.2481 6.2099 5.3007
0.8536 7.7574 2.7041
-2.7806 7.4609 2.1958
As Ir Se
1 1 2
Direct
0.0000 0.0000 0.0000
0.5000 0.5000 0.5000
0.8876 0.8876 0.8876
0.1124 0.1124 0.1124

***

(9)
GGA-PBE Ac7TeAs5, relaxed; size of the total moment = 1.16 Bohr magnetons per cell; space-group type = No. 12; formation energy from raw total energies = -1.35 eV/atom
1.0
4.5261 0.0000 0.0000
-2.2631 7.5288 -0.0007
0.0000 -0.0680 26.9141
Ac Te As
14 2 10
Direct
0.4708 0.9416 0.2497
0.5298 0.0596 0.7502
0.6380 0.2760 0.0348
0.3627 0.7255 0.9652
0.3631 0.7263 0.5347
0.6372 0.2745 0.4652
0.1773 0.3547 0.1735
0.8233 0.6467 0.8265
0.8245 0.6490 0.6731
0.1760 0.3520 0.3268
0.9123 0.8247 0.1034
0.0883 0.1767 0.8966
0.0894 0.1789 0.6036
0.9110 0.8219 0.3963
0.7984 0.5968 0.2511
0.2022 0.4045 0.7489
0.0003 0.0007 0.0000
0.7269 0.4539 0.9264
0.2738 0.5475 0.0736
0.5446 0.0891 0.3569
0.4559 0.9118 0.6431
0.0002 0.0004 0.5000
0.2730 0.5459 0.4267
0.7274 0.4549 0.5733
0.4545 0.9091 0.8569
0.5462 0.0924 0.1431

***

(10)
GGA-PBE Pm2Dy7Ho2, relaxed; formation energy = 0.1179 eV per atom; size of the total moment = 0.00 Bohr magnetons per cell; space-group type = No. 12; E above lowest polymorph = 0.0000 eV/atom
1.0
8.6717 0.4978 -0.5441
-1.3736 6.1024 -1.7426
-0.5881 1.2556 6.3436
Pm Dy Ho
2 7 2
Direct
0.0000 0.3225 0.6775
0.0000 0.6775 0.3225
0.7067 0.9180 0.5558
0.2933 0.4442 0.0820
0.2933 0.0820 0.4442
0.7067 0.5558 0.9180
0.5000 0.0000 0.0000
0.3560 0.6068 0.6068
0.6440 0.3932 0.3932
0.9047 0.1481 0.1481
0.0953 0.8519 0.8519

***

(11)
GGA-PBE Tl2ZnMo, relaxed; formation energy = 0.6710 eV per atom; size of the total moment = 0.00 Bohr magnetons per cell; space-group type = No. 65; E above lowest polymorph = 0.1964 eV/atom
1.0
-0.7990 -0.0336 -2.9727
2.7824 -1.2847 0.2904
-4.0123 -8.4245 1.1737
Mo Tl Zn
1 2 1
Direct
0.5000 0.5000 0.7500
0.0000 0.0000 0.9959
0.0000 0.0000 0.5041
0.5000 0.5000 0.2500

***

(12)
GGA-PBE In3Hg12Cl5, relaxed; size of the total moment = 0.00 Bohr magnetons per cell; space-group type = No. 230; formation energy from raw total energies = -0.15 eV/atom
1.0
-10.3212 -6.3770 9.2997
14.0413 -4.2590 4.2873
-1.1651 15.2227 0.7696
In Cl Hg
12 20 48
Direct
0.7500 0.3750 0.1250
0.8750 0.7500 0.1250
0.3750 0.7500 0.6250
0.2500 0.1250 0.3750
0.8750 0.1250 0.2500
0.3750 0.6250 0.2500
0.6250 0.3750 0.7500
0.1250 0.8750 0.7500
0.7500 0.8750 0.6250
0.6250 0.2500 0.3750
0.1250 0.2500 0.8750
0.2500 0.6250 0.8750
0.1250 0.3750 0.2500
0.0000 0.5000 0.0000
0.0000 0.0000 0.0000
0.3750 0.2500 0.1250
0.5000 0.0000 0.5000
0.5000 0.5000 0.0000
0.1250 0.7500 0.3750
0.7500 0.1250 0.8750
0.7500 0.6250 0.3750
0.3750 0.1250 0.7500
0.6250 0.8750 0.2500
0.5000 0.5000 0.5000
0.5000 0.0000 0.0000
0.0000 0.0000 0.5000
0.2500 0.3750 0.6250
0.2500 0.8750 0.1250
0.0000 0.5000 0.5000
0.8750 0.2500 0.6250
0.6250 0.7500 0.8750
0.8750 0.6250 0.7500
0.7339 0.1385 0.0653
0.3314 0.5653 0.4267
0.9347 0.3615 0.2661
0.5653 0.2339 0.1385
0.5953 0.7339 0.6686
0.9347 0.5733 0.1686
0.3314 0.7661 0.4047
0.0733 0.9047 0.1385
0.5733 0.9347 0.6686
0.7339 0.5953 0.1686
0.7661 0.4347 0.3615
0.8314 0.9267 0.0653
0.1385 0.7339 0.5653
0.3615 0.4267 0.0953
0.0953 0.9267 0.3615
0.4047 0.1385 0.5733
0.0953 0.1686 0.2339
0.4347 0.6686 0.0733
0.8314 0.9047 0.2661
0.1385 0.4047 0.0733
0.3615 0.9347 0.7661
0.5733 0.6385 0.4047
0.9267 0.8314 0.5653
0.7661 0.3314 0.9047
0.4267 0.3615 0.5953
0.0733 0.1686 0.4347
0.2339 0.6686 0.0953
0.1686 0.0953 0.7339
0.6385 0.0653 0.2339
0.8615 0.5953 0.9267
0.5653 0.3314 0.9267
0.5953 0.8615 0.4267
0.9047 0.8314 0.7661
0.9047 0.0733 0.6385
0.8615 0.2661 0.4347
0.1686 0.0733 0.9347
0.6385 0.5733 0.9047
0.4267 0.0653 0.3314
0.2661 0.4047 0.8314
0.2339 0.5653 0.6385
0.9267 0.0953 0.8615
0.6686 0.2339 0.5953
0.4347 0.7661 0.8615
0.0653 0.4267 0.8314
0.4047 0.2661 0.3314
0.0653 0.6385 0.7339
0.6686 0.4347 0.5733
0.2661 0.8615 0.9347